First-principles (PBE) data for a relaxed Y4Tm3In crystal, as listed in the Alexandria database.

DFT formation energy in meV per atom: -105
DOS at the Fermi energy in states/eV per cell: 22.47

Cell lengths 6.1302, 7.0155, 11.1541 Å; angles 90.00, 90.00, 90.00 degrees
Atoms (fractional coordinates):
In  0.6483  0.6190  0.5000
In  0.1483  0.3810  0.0000
Y  0.4955  0.8722  0.2616
Y  0.9955  0.1278  0.7616
Y  0.1330  0.8674  0.5000
Y  0.6637  0.1332  0.5000
Y  0.4955  0.8722  0.7384
Y  0.6330  0.1326  0.0000
Y  0.9955  0.1278  0.2384
Y  0.1637  0.8668  0.0000
Tm  0.4690  0.3858  0.7454
Tm  0.1413  0.3712  0.5000
Tm  0.6413  0.6288  0.0000
Tm  0.9690  0.6142  0.7546
Tm  0.4690  0.3858  0.2546
Tm  0.9690  0.6142  0.2454